No. 1
{"formula": "LiCl3F12", "functional": "PBE-GGA", "state": "relaxed", "cell": [[10.2852, 0.0000, 0.0000], [-5.1426, 8.9073, 0.0000], [0.0000, 0.0000, 5.2829]], "species": ["Li", "Li", "Cl", "Cl", "Cl", "Cl", "Cl", "Cl", "F", "F", "F", "F", "F", "F", "F", "F", "F", "F", "F", "F", "F", "F", "F", "F", "F", "F", "F", "F", "F", "F", "F", "F"], "fractional_positions": [[0.3333, 0.6667, 0.2500], [0.6667, 0.3333, 0.7500], [0.0801, 0.3572, 0.7500], [0.2771, 0.9199, 0.7500], [0.3572, 0.2771, 0.2500], [0.6428, 0.7229, 0.7500], [0.7229, 0.0801, 0.2500], [0.9199, 0.6428, 0.2500], [0.0311, 0.4908, 0.7500], [0.0880, 0.8580, 0.7500], [0.1420, 0.2300, 0.7500], [0.2300, 0.0880, 0.2500], [0.2319, 0.4700, 0.0043], [0.2319, 0.4700, 0.4957], [0.2382, 0.7681, 0.0043], [0.2382, 0.7681, 0.4957], [0.4597, 0.9689, 0.7500], [0.4700, 0.2382, 0.5043], [0.4700, 0.2382, 0.9957], [0.4908, 0.4597, 0.2500], [0.5092, 0.5403, 0.7500], [0.5300, 0.7618, 0.0043], [0.5300, 0.7618, 0.4957], [0.5403, 0.0311, 0.2500], [0.7618, 0.2319, 0.5043], [0.7618, 0.2319, 0.9957], [0.7681, 0.5300, 0.5043], [0.7681, 0.5300, 0.9957], [0.7700, 0.9120, 0.7500], [0.8580, 0.7700, 0.2500], [0.9120, 0.1420, 0.2500], [0.9689, 0.5092, 0.2500]], "formation_energy_uncorrected_ev_per_atom": -0.634, "energy_ev_per_atom": -2.504}

***

No. 2
{"formula": "YTmPb", "functional": "PBE-GGA", "state": "relaxed", "cell": [[4.5482, 0.0000, 0.0000], [0.0000, 4.5482, 0.0000], [0.0000, 0.0000, 8.5010]], "species": ["Y", "Y", "Tm", "Tm", "Pb", "Pb"], "fractional_positions": [[0.2500, 0.2500, 0.1586], [0.7500, 0.7500, 0.8414], [0.2500, 0.7500, 0.5000], [0.7500, 0.2500, 0.5000], [0.2500, 0.2500, 0.7817], [0.7500, 0.7500, 0.2183]], "delta_e_f_ev_per_fu": -1.33, "energy_ev_per_atom": -5.324}

***

No. 3
{"formula": "La5Ni2Pt", "functional": "PBE-GGA", "state": "relaxed", "cell": [[-3.7520, 3.7520, 7.4344], [3.7520, -3.7520, 7.4344], [3.7520, 3.7520, -7.4344]], "species": ["La", "La", "La", "La", "La", "La", "La", "La", "La", "La", "Ni", "Ni", "Ni", "Ni", "Pt", "Pt"], "fractional_positions": [[0.0000, 0.0000, 0.0000], [0.0265, 0.5265, 0.8371], [0.1894, 0.0265, 0.5000], [0.3106, 0.8106, 0.8371], [0.4735, 0.3106, 0.5000], [0.5000, 0.5000, 0.0000], [0.5265, 0.6894, 0.5000], [0.6894, 0.1894, 0.1629], [0.8106, 0.9735, 0.5000], [0.9735, 0.4735, 0.1629], [0.1230, 0.3770, 0.5000], [0.3770, 0.8770, 0.2540], [0.6230, 0.1230, 0.7460], [0.8770, 0.6230, 0.5000], [0.2500, 0.2500, 0.0000], [0.7500, 0.7500, 0.0000]], "delta_e_f_ev_per_fu": -3.56, "energy_ev_per_atom": -5.725}

***

No. 4
{"formula": "BaZr2Ir2", "functional": "PBE-GGA", "state": "relaxed", "cell": [[8.3346, 0.0000, 0.0000], [0.0000, 8.3346, 0.0000], [0.0000, 0.0000, 3.0968]], "species": ["Ba", "Ba", "Zr", "Zr", "Zr", "Zr", "Ir", "Ir", "Ir", "Ir"], "fractional_positions": [[0.0000, 0.0000, 0.0000], [0.5000, 0.5000, 0.0000], [0.1402, 0.3598, 0.0000], [0.3598, 0.8598, 0.0000], [0.6402, 0.1402, 0.0000], [0.8598, 0.6402, 0.0000], [0.1440, 0.6440, 0.5000], [0.3560, 0.1440, 0.5000], [0.6440, 0.8560, 0.5000], [0.8560, 0.3560, 0.5000]], "polymorph_energy_ev_per_atom": 0.214, "delta_e_f_ev_per_fu": -1.80, "energy_ev_per_atom": -7.709}

***

No. 5
{"formula": "KRb2PtCl6", "functional": "PBE-GGA", "state": "relaxed", "cell": [[-3.8645, 3.8645, 5.2980], [3.8645, -3.8645, 5.2980], [3.8645, 3.8645, -5.2980]], "species": ["K", "Rb", "Rb", "Pt", "Cl", "Cl", "Cl", "Cl", "Cl", "Cl"], "fractional_positions": [[0.0000, 0.0000, 0.0000], [0.2500, 0.7500, 0.5000], [0.7500, 0.2500, 0.5000], [0.5000, 0.5000, 0.0000], [0.2722, 0.2722, 0.5444], [0.2722, 0.7278, 0.0000], [0.2805, 0.2805, 0.0000], [0.7195, 0.7195, 0.0000], [0.7278, 0.2722, 0.0000], [0.7278, 0.7278, 0.4556]], "polymorph_energy_ev_per_atom": 0.012, "formation_energy_uncorrected_ev_per_atom": -1.297, "energy_ev_per_atom": -3.313}

***

No. 6
{"formula": "CuPtCl4", "functional": "PBE-GGA", "state": "relaxed", "cell": [[0.0000, 3.9788, 3.9788], [3.9788, 0.0000, 3.9788], [3.9788, 3.9788, 0.0000]], "species": ["Cu", "Pt", "Cl", "Cl", "Cl", "Cl"], "fractional_positions": [[0.0000, 0.0000, 0.0000], [0.7500, 0.7500, 0.7500], [0.3751, 0.3751, 0.3751], [0.3751, 0.3751, 0.8748], [0.3751, 0.8748, 0.3751], [0.8748, 0.3751, 0.3751]], "formation_energy_uncorrected_ev_per_atom": 1.192, "energy_ev_per_atom": -1.728}

***

No. 7
{"formula": "Tm2PuTh3S6", "functional": "PBE-GGA", "state": "relaxed", "cell": [[8.7434, -1.9544, 0.0000], [8.7434, 1.9544, 0.0000], [-2.2459, 0.0000, 7.7052]], "species": ["Tm", "Tm", "Pu", "Th", "Th", "Th", "S", "S", "S", "S", "S", "S"], "fractional_positions": [[0.1652, 0.1652, 0.3309], [0.8348, 0.8348, 0.6691], [0.5000, 0.5000, 0.0000], [0.1659, 0.1659, 0.8353], [0.5000, 0.5000, 0.5000], [0.8341, 0.8341, 0.1647], [0.0050, 0.0050, 0.2438], [0.3280, 0.3280, 0.4280], [0.3355, 0.3355, 0.9025], [0.6645, 0.6645, 0.0975], [0.6720, 0.6720, 0.5720], [0.9950, 0.9950, 0.7562]], "formation_energy_uncorrected_ev_per_atom": -1.862, "energy_ev_per_atom": -7.720}

***

No. 8
{"formula": "CePuTePt", "functional": "PBE-GGA", "state": "relaxed", "cell": [[2.1018, 1.2135, 7.4037], [-2.1018, 1.2135, 7.4037], [0.0000, -2.4270, 7.4037]], "species": ["Ce", "Pu", "Te", "Pt"], "fractional_positions": [[0.0000, 0.0000, 0.0000], [0.5232, 0.5232, 0.5232], [0.7618, 0.7618, 0.7618], [0.2619, 0.2619, 0.2619]], "formation_energy_uncorrected_ev_per_atom": -1.021, "energy_ev_per_atom": -8.384}

***

No. 9
{"formula": "Mn2TlPbBr8", "functional": "PBE-GGA", "state": "relaxed", "cell": [[7.0614, 0.0000, 0.0000], [-3.5307, 6.1153, 0.0000], [0.0000, 0.0000, 9.9716]], "species": ["Mn", "Mn", "Tl", "Pb", "Br", "Br", "Br", "Br", "Br", "Br", "Br", "Br"], "fractional_positions": [[0.3333, 0.6667, 0.2567], [0.6667, 0.3333, 0.7433], [0.0000, 0.0000, 0.5000], [0.0000, 0.0000, 0.0000], [0.0026, 0.6698, 0.8075], [0.3302, 0.3328, 0.8075], [0.3328, 0.0026, 0.1925], [0.3333, 0.6667, 0.4952], [0.6667, 0.3333, 0.5048], [0.6672, 0.9974, 0.8075], [0.6698, 0.6672, 0.1925], [0.9974, 0.3302, 0.1925]], "formation_energy_uncorrected_ev_per_atom": -0.730, "energy_ev_per_atom": -3.880}

***

No. 10
{"formula": "LiDy2AlAu6", "functional": "PBE-GGA", "state": "relaxed", "cell": [[5.5872, 0.0000, 0.0000], [-2.6987, 5.6596, 0.0000], [-2.0805, -2.3445, 6.8569]], "species": ["Li", "Dy", "Dy", "Al", "Au", "Au", "Au", "Au", "Au", "Au"], "fractional_positions": [[0.0000, 0.0000, 0.0000], [0.4706, 0.6008, 0.2768], [0.5294, 0.3992, 0.7232], [0.0000, 0.5000, 0.5000], [0.0090, 0.8906, 0.6632], [0.0691, 0.3738, 0.8550], [0.4895, 0.1215, 0.3313], [0.5105, 0.8785, 0.6687], [0.9309, 0.6262, 0.1450], [0.9910, 0.1094, 0.3368]], "delta_e_f_ev_per_fu": -5.22, "energy_ev_per_atom": -3.975}

***

No. 11
{"formula": "Y5ZrBi6", "functional": "PBE-GGA", "state": "relaxed", "cell": [[3.8440, -6.6575, 0.0000], [3.8440, 6.6575, 0.0000], [-2.5694, 0.0000, 7.2406]], "species": ["Y", "Y", "Y", "Y", "Y", "Zr", "Bi", "Bi", "Bi", "Bi", "Bi", "Bi"], "fractional_positions": [[0.0000, 0.0000, 0.0000], [0.1650, 0.8350, 0.5000], [0.3290, 0.6710, 0.0000], [0.6710, 0.3290, 0.0000], [0.8350, 0.1650, 0.5000], [0.5000, 0.5000, 0.5000], [0.0940, 0.4195, 0.2565], [0.2589, 0.2589, 0.7484], [0.4195, 0.0940, 0.2565], [0.5805, 0.9060, 0.7435], [0.7411, 0.7411, 0.2516], [0.9060, 0.5805, 0.7435]], "delta_e_f_ev_per_fu": -9.31, "energy_ev_per_atom": -6.122}

***

No. 12
{"formula": "Tm4MgGa", "functional": "PBE-GGA", "state": "relaxed", "cell": [[2.4028, -11.8821, 0.0000], [2.4028, 11.8821, 0.0000], [0.0000, 0.0000, 6.2843]], "species": ["Tm", "Tm", "Tm", "Tm", "Tm", "Tm", "Tm", "Tm", "Mg", "Mg", "Ga", "Ga"], "fractional_positions": [[0.0867, 0.9133, 0.5000], [0.1875, 0.8125, 0.8502], [0.2212, 0.7788, 0.3595], [0.3661, 0.6339, 0.6241], [0.6339, 0.3661, 0.1241], [0.7788, 0.2212, 0.8595], [0.8125, 0.1875, 0.3502], [0.9133, 0.0867, 0.0000], [0.0462, 0.9538, 0.9923], [0.9538, 0.0462, 0.4923], [0.3350, 0.6650, 0.0935], [0.6650, 0.3350, 0.5935]], "delta_e_f_ev_per_fu": 0.32, "energy_ev_per_atom": -3.698}

***

Number 1: Fermi-level density of states 5.0 states/eV/f.u.. Number 2: Fermi-level density of states 1.9 states/eV/f.u.. Number 3: Fermi-level density of states 10.2 states/eV/f.u.. Number 4: Fermi-level density of states 2.7 states/eV/f.u.. Number 5: Fermi-level density of states 0.9 states/eV/f.u.. Number 6: Fermi-level density of states 8.8 states/eV/f.u.. Number 7: Fermi-level density of states 9.7 states/eV/f.u.. Number 8: Fermi-level density of states 15.4 states/eV/f.u.. Number 9: Fermi-level density of states 10.6 states/eV/f.u.. Number 10: Fermi-level density of states 4.0 states/eV/f.u.. Number 11: Fermi-level density of states 3.1 states/eV/f.u.. Number 12: Fermi-level density of states 6.2 states/eV/f.u..